(1)
Here is a relaxed structure of GeP2HS from the Alexandria database. Energies are from PBE-GGA.

Properties
SG: No. 123
Total energy: -3.9660 eV/atom
Total magnetic moment: 0.0 μB per formula unit

The structure in extended XYZ format:
```
5
Lattice="3.5599 0.0000 0.0000 0.0000 3.5599 0.0000 0.0000 0.0000 6.9993" Properties=species:S:1:pos:R:3 pbc="T T T"
Ge 0.0000 0.0000 0.0000
P 0.0000 1.7800 3.4997
P 1.7800 0.0000 3.4997
H 1.7800 1.7800 3.4997
S 1.7800 1.7800 0.0000
```

=====

(2)
Here is a relaxed structure of OsPdW from the Alexandria database. Energies are from PBE-GGA.

Properties
SG: No. 107
Total energy: -9.6549 eV/atom
Total magnetic moment: 0.0 μB per formula unit

The structure in extended XYZ format:
```
6
Lattice="2.8018 0.0000 0.0000 0.0000 2.8018 0.0000 0.0000 0.0000 11.7164" Properties=species:S:1:pos:R:3 pbc="T T T"
Os 0.0000 0.0000 0.0000
Os 1.4009 1.4009 5.8582
Pd 0.0000 0.0000 7.9178
Pd 1.4009 1.4009 2.0596
W 0.0000 0.0000 4.0762
W 1.4009 1.4009 9.9344
```